## Lu5Si3 (meta-GGA SCAN)

Data for a crystal of Lu5Si3 relaxed with PBEsol.

* electronic total energy: -39.09 eV/atom
* M_tot: 0.0 μB/cell

Cell: 8.1457 8.1457 6.0668 Å, 90.00 90.00 120.00°
Space group P6_3/mcm (No. 193)
Inequivalent atoms, fractional coordinates:
Lu  0.0000  0.2414  0.2500 [6 per cell]
Lu  0.3333  0.6667  0.0000 [4 per cell]
Si  0.0000  0.3957  0.7500 [6 per cell]



## ZrAl2Cl (meta-GGA SCAN)

Data for a crystal of ZrAl2Cl relaxed with PBEsol.

* electronic total energy: -13.74 eV/atom
* M_tot: 0.0 μB/cell

Cell: 3.8395 3.8395 9.6713 Å, 90.00 90.00 90.00°
Space group I4/mmm (No. 139)
Inequivalent atoms, fractional coordinates:
Zr  0.0000  0.0000  0.0000 [2 per cell]
Al  0.0000  0.5000  0.2500 [4 per cell]
Cl  0.0000  0.0000  0.5000 [2 per cell]



## MnP2NO (meta-GGA SCAN)

Data for a crystal of MnP2NO relaxed with PBEsol.

* electronic total energy: -10.11 eV/atom
* M_tot: 0.0 μB/cell

Cell: 4.3310 4.3310 3.3463 Å, 90.00 90.00 90.00°
Space group P4/mmm (No. 123)
Inequivalent atoms, fractional coordinates:
Mn  0.0000  0.0000  0.0000 [1 per cell]
P  0.0000  0.5000  0.0000 [2 per cell]
N  0.5000  0.5000  0.5000 [1 per cell]
O  0.0000  0.0000  0.5000 [1 per cell]



## LiNiIr2 (meta-GGA SCAN)

Data for a crystal of LiNiIr2 relaxed with PBEsol.

* electronic total energy: -40.17 eV/atom
* M_tot: 2.1 μB/cell

Cell: 3.7004 3.7004 7.2023 Å, 90.00 90.00 90.00°
Space group I4/mmm (No. 139)
Inequivalent atoms, fractional coordinates:
Li  0.0000  0.0000  0.0000 [2 per cell]
Ni  0.0000  0.0000  0.5000 [2 per cell]
Ir  0.0000  0.5000  0.2500 [4 per cell]



## SrMg3Ru (meta-GGA SCAN)

Data for a crystal of SrMg3Ru relaxed with PBEsol.

* electronic total energy: -14.43 eV/atom
* M_tot: 0.0 μB/cell

Cell: 5.0346 5.0346 5.0346 Å, 90.00 90.00 90.00°
Space group Pm-3m (No. 221)
Inequivalent atoms, fractional coordinates:
Sr  0.0000  0.0000  0.0000 [1 per cell]
Mg  0.0000  0.5000  0.5000 [3 per cell]
Ru  0.5000  0.5000  0.5000 [1 per cell]



## KZrAg2 (meta-GGA SCAN)

Data for a crystal of KZrAg2 relaxed with PBEsol.

* electronic total energy: -25.22 eV/atom
* M_tot: 0.0 μB/cell

Cell: 5.4935 5.4935 2.8924 Å, 90.00 90.00 90.00°
Space group P4/mmm (No. 123)
Inequivalent atoms, fractional coordinates:
K  0.0000  0.0000  0.0000 [1 per cell]
Zr  0.5000  0.5000  0.0000 [1 per cell]
Ag  0.0000  0.5000  0.5000 [2 per cell]



## ScHg2 (meta-GGA SCAN)

Data for a crystal of ScHg2 relaxed with PBEsol.

* electronic total energy: -50.63 eV/atom
* M_tot: 0.6 μB/cell

Cell: 3.2929 3.2929 11.4819 Å, 90.00 90.00 90.00°
Space group I4/mmm (No. 139)
Inequivalent atoms, fractional coordinates:
Sc  0.0000  0.0000  0.0000 [2 per cell]
Hg  0.0000  0.0000  0.3373 [4 per cell]



## SrMn2Tc (meta-GGA SCAN)

Data for a crystal of SrMn2Tc relaxed with PBEsol.

* electronic total energy: -22.76 eV/atom
* M_tot: 29.7 μB/cell

Cell: 6.5120 6.5120 6.5120 Å, 90.00 90.00 90.00°
Space group Fm-3m (No. 225)
Inequivalent atoms, fractional coordinates:
Sr  0.0000  0.0000  0.0000 [4 per cell]
Mn  0.2500  0.2500  0.2500 [8 per cell]
Tc  0.0000  0.0000  0.5000 [4 per cell]



## TcNi8 (meta-GGA SCAN)

Data for a crystal of TcNi8 relaxed with PBEsol.

* electronic total energy: -18.19 eV/atom
* M_tot: 0.0 μB/cell

Cell: 7.3951 7.3951 3.5184 Å, 90.00 90.00 90.00°
Space group I4/mmm (No. 139)
Inequivalent atoms, fractional coordinates:
Tc  0.0000  0.0000  0.0000 [2 per cell]
Ni  0.0000  0.3331  0.0000 [8 per cell]
Ni  0.1658  0.1658  0.5000 [8 per cell]



## LiBeSe (meta-GGA SCAN)

Data for a crystal of LiBeSe relaxed with PBEsol.

* electronic total energy: -9.13 eV/atom
* M_tot: 0.0 μB/cell

Cell: 3.7503 6.1734 9.4283 Å, 90.00 90.00 90.00°
Space group Fmm2 (No. 42)
Inequivalent atoms, fractional coordinates:
Li  0.0000  0.0000  0.0000 [4 per cell]
Be  0.0000  0.0000  0.3090 [4 per cell]
Se  0.0000  0.0000  0.7040 [4 per cell]



## Re2SiP (meta-GGA SCAN)

Data for a crystal of Re2SiP relaxed with PBEsol.

* electronic total energy: -40.29 eV/atom
* M_tot: 0.0 μB/cell

Cell: 2.9296 4.8919 7.7307 Å, 90.00 90.00 90.00°
Space group Cmmm (No. 65)
Inequivalent atoms, fractional coordinates:
Re  0.0000  0.0000  0.2424 [4 per cell]
Si  0.0000  0.5000  0.5000 [2 per cell]
P  0.0000  0.5000  0.0000 [2 per cell]



## SnGeAs2 (meta-GGA SCAN)

Data for a crystal of SnGeAs2 relaxed with PBEsol.

* electronic total energy: -23.45 eV/atom
* M_tot: 0.0 μB/cell

Cell: 6.8450 6.8450 6.8450 Å, 90.00 90.00 90.00°
Space group Fm-3m (No. 225)
Inequivalent atoms, fractional coordinates:
Sn  0.0000  0.0000  0.0000 [4 per cell]
Ge  0.0000  0.0000  0.5000 [4 per cell]
As  0.2500  0.2500  0.2500 [8 per cell]